1.
ScTlFeNi, optimized geometry, DFT PBE; polymorph energy (0 for the lowest one) = 0.0000 eV/atom; VASP energy = -5.62 eV per atom; total moment = 0.47 μB per atom
1.0
0.0000 3.1836 3.1836
3.1836 0.0000 3.1836
3.1836 3.1836 0.0000
Sc Tl Fe Ni
1 1 1 1
Cartesian
0.0000 0.0000 0.0000
3.1836 3.1836 3.1836
4.7754 4.7754 4.7754
1.5918 1.5918 1.5918

***

2.
FeNi2Se4, optimized geometry, DFT PBE; VASP energy = -5.04 eV per atom; total moment = 0.24 μB per atom
1.0
6.0402 -1.7927 0.0000
6.0402 1.7927 0.0000
-3.0311 0.0000 5.3980
Fe Ni Se
1 2 4
Cartesian
0.0000 0.0000 0.0000
2.2771 0.0000 1.5574
6.7723 0.0000 3.8407
0.0208 0.0000 2.4330
4.3286 0.0000 0.1268
4.7207 0.0000 5.2712
9.0285 0.0000 2.9650

***

3.
FeNiSnSe3, optimized geometry, DFT PBE; polymorph energy (0 for the lowest one) = 0.0212 eV/atom; VASP energy = -4.88 eV per atom; total moment = 0.45 μB per atom
1.0
1.8444 -6.9277 0.0000
1.8444 6.9277 0.0000
0.0000 0.0000 9.2461
Fe Ni Sn Se
2 2 2 6
Cartesian
1.8444 6.5420 6.9346
1.8444 -6.5420 2.3115
1.8444 0.0000 0.0000
1.8444 0.0000 4.6231
1.8444 3.1364 2.3115
1.8444 -3.1364 6.9346
1.8444 5.1410 5.0432
1.8444 5.1410 8.8260
1.8444 1.0740 6.9346
1.8444 -1.0740 2.3115
1.8444 -5.1410 0.4201
1.8444 -5.1410 4.2029

***

4.
FeNiSnSe3, optimized geometry, DFT PBE; polymorph energy (0 for the lowest one) = 0.0000 eV/atom; VASP energy = -4.90 eV per atom; total moment = 0.47 μB per atom
1.0
1.8224 -6.7997 0.0000
1.8224 6.7997 0.0000
0.0000 0.0000 9.3795
Fe Ni Sn Se
2 2 2 6
Cartesian
0.0000 0.0000 0.0000
0.0000 0.0000 4.6898
1.8224 0.4714 7.0346
1.8224 -0.4714 2.3449
1.8224 3.6693 2.3449
1.8224 -3.6693 7.0346
1.8224 5.8175 7.0346
1.8224 1.7958 5.0917
1.8224 1.7958 8.9776
1.8224 -1.7958 0.4019
1.8224 -1.7958 4.2879
1.8224 -5.8175 2.3449

***

5.
SrFeNiSe3, optimized geometry, DFT PBE; polymorph energy (0 for the lowest one) = 0.0225 eV/atom; VASP energy = -5.00 eV per atom; total moment = 0.48 μB per atom
1.0
1.9875 -6.6749 0.0000
1.9875 6.6749 0.0000
0.0000 0.0000 9.4614
Sr Fe Ni Se
2 2 2 6
Cartesian
1.9875 3.4165 7.0961
1.9875 -3.4165 2.3654
1.9875 0.3932 2.3654
1.9875 -0.3932 7.0961
0.0000 0.0000 0.0000
0.0000 0.0000 4.7307
1.9875 5.7258 2.3654
1.9875 1.7192 0.4068
1.9875 1.7192 4.3239
1.9875 -1.7192 5.1375
1.9875 -1.7192 9.0546
1.9875 -5.7258 7.0961

***

6.
SrFeNiSe3, optimized geometry, DFT PBE; polymorph energy (0 for the lowest one) = 0.0000 eV/atom; VASP energy = -5.02 eV per atom; total moment = 0.54 μB per atom
1.0
1.9171 -6.6831 0.0000
1.9171 6.6831 0.0000
0.0000 0.0000 9.5667
Sr Fe Ni Se
2 2 2 6
Cartesian
1.9171 3.4348 7.1750
1.9171 -3.4348 2.3917
0.0000 0.0000 0.0000
0.0000 0.0000 4.7833
1.9171 0.4536 2.3917
1.9171 -0.4536 7.1750
1.9171 5.7866 2.3917
1.9171 1.7457 0.4184
1.9171 1.7457 4.3650
1.9171 -1.7457 5.2017
1.9171 -1.7457 9.1483
1.9171 -5.7866 7.1750

***

7.
TlFeNiSe3, optimized geometry, DFT PBE; polymorph energy (0 for the lowest one) = 0.0000 eV/atom; VASP energy = -4.71 eV per atom; total moment = 0.37 μB per atom
1.0
8.1035 0.0000 0.0000
0.0000 3.6022 0.0000
-2.9602 0.0000 8.7855
Tl Fe Ni Se
2 2 2 6
Cartesian
-0.6392 0.9005 1.9981
5.7825 2.7016 6.7874
1.4686 0.9005 7.4948
3.6747 2.7016 1.2907
1.6743 2.7016 5.4568
3.4690 0.9005 3.3287
0.0693 0.9005 5.5493
2.5167 0.9005 0.1670
1.8898 2.7016 3.0193
3.2535 0.9005 5.7662
2.6266 2.7016 8.6185
5.0740 2.7016 3.2363

***

8.
TlFeNiSe3, optimized geometry, DFT PBE; polymorph energy (0 for the lowest one) = 0.0400 eV/atom; VASP energy = -4.67 eV per atom; total moment = 0.42 μB per atom
1.0
1.7782 -7.5659 0.0000
1.7782 7.5659 0.0000
0.0000 0.0000 9.4947
Tl Fe Ni Se
2 2 2 6
Cartesian
1.7782 3.9550 7.1210
1.7782 -3.9550 2.3737
0.0000 0.0000 0.0000
0.0000 0.0000 4.7473
1.7782 0.4788 2.3737
1.7782 -0.4788 7.1210
1.7782 6.5618 2.3737
1.7782 1.7049 0.3956
1.7782 1.7049 4.3517
1.7782 -1.7049 5.1429
1.7782 -1.7049 9.0991
1.7782 -6.5618 7.1210

***

9.
FeSiNi, optimized geometry, DFT PBE; VASP energy = -6.84 eV per atom; total moment = 0.67 μB per atom
1.0
5.8655 0.0000 0.0000
-2.9328 5.0797 0.0000
0.0000 0.0000 3.4390
Fe Si Ni
3 3 3
Cartesian
-1.7295 2.9955 0.0000
1.2033 2.0842 0.0000
3.4589 0.0000 0.0000
0.0000 0.0000 0.0000
0.0000 3.3865 1.7195
2.9328 1.6932 1.7195
-0.7383 1.2788 1.7195
1.4766 0.0000 1.7195
2.1945 3.8009 1.7195

***

10.
FeSiNi, optimized geometry, DFT PBE; VASP energy = -6.86 eV per atom; total moment = 0.54 μB per atom
1.0
5.3582 0.0000 0.0000
0.0000 3.6260 0.0000
0.0000 0.0000 6.8787
Fe Si Ni
4 4 4
Cartesian
0.1972 0.9065 1.2968
2.4819 2.7195 4.7362
2.8763 0.9065 2.1425
5.1611 2.7195 5.5819
1.2563 0.9065 6.0405
1.4228 2.7195 2.6011
3.9354 0.9065 4.2776
4.1019 2.7195 0.8382
0.8127 0.9065 3.8393
1.8664 2.7195 0.3999
3.4918 0.9065 6.4788
4.5456 2.7195 3.0395

***

11.
FeSiNi, optimized geometry, DFT PBE; VASP energy = -6.75 eV per atom; total moment = 0.61 μB per atom
1.0
6.1310 0.0000 0.0000
-3.0655 5.3096 0.0000
0.0000 0.0000 3.1433
Fe Si Ni
3 3 3
Cartesian
-0.8104 1.4036 0.0000
1.6207 0.0000 0.0000
2.2551 3.9060 0.0000
0.0000 0.0000 1.5716
0.0000 3.5397 0.0000
3.0655 1.7699 0.0000
-1.8478 3.2004 1.5716
1.2177 2.1092 1.5716
3.6955 0.0000 1.5716

***

12.
FeSiNi, optimized geometry, DFT PBE; VASP energy = -6.70 eV per atom; total moment = 0.70 μB per atom
1.0
6.6856 0.0000 0.0000
-3.3428 5.7899 0.0000
0.0000 0.0000 2.5812
Fe Si Ni
3 3 3
Cartesian
-2.1152 3.6636 0.0000
1.2277 2.1264 0.0000
4.2303 0.0000 0.0000
-1.0065 1.7434 1.2906
2.0131 0.0000 1.2906
2.3363 4.0466 1.2906
0.0000 0.0000 0.0000
0.0000 3.8599 1.2906
3.3428 1.9300 1.2906

***

13.
TaFeSiNi, optimized geometry, DFT PBE; polymorph energy (0 for the lowest one) = 0.1698 eV/atom; VASP energy = -7.95 eV per atom; total moment = 0.41 μB per atom
1.0
0.0000 2.9666 2.9666
2.9666 0.0000 2.9666
2.9666 2.9666 0.0000
Ta Fe Si Ni
1 1 1 1
Cartesian
0.0000 0.0000 0.0000
2.9666 2.9666 2.9666
1.4833 1.4833 1.4833
4.4499 4.4499 4.4499

***

14.
TaFeSiNi, optimized geometry, DFT PBE; polymorph energy (0 for the lowest one) = 0.1669 eV/atom; VASP energy = -7.95 eV per atom; total moment = 0.44 μB per atom
1.0
0.0000 2.9709 2.9709
2.9709 0.0000 2.9709
2.9709 2.9709 0.0000
Ta Fe Si Ni
1 1 1 1
Cartesian
0.0000 0.0000 0.0000
4.4564 4.4564 4.4564
1.4855 1.4855 1.4855
2.9709 2.9709 2.9709

***

15.
TaFeSiNi, optimized geometry, DFT PBE; polymorph energy (0 for the lowest one) = 0.0000 eV/atom; VASP energy = -8.12 eV per atom; total moment = 0.24 μB per atom
1.0
0.0000 2.9355 2.9355
2.9355 0.0000 2.9355
2.9355 2.9355 0.0000
Ta Fe Si Ni
1 1 1 1
Cartesian
0.0000 0.0000 0.0000
4.4032 4.4032 4.4032
2.9355 2.9355 2.9355
1.4677 1.4677 1.4677

***

16.
TbFeSi2Ni, optimized geometry, DFT PBE; VASP energy = -6.63 eV per atom; total moment = 0.00 μB per atom
1.0
-1.9511 1.9511 4.8810
1.9511 -1.9511 4.8810
1.9511 1.9511 -4.8810
Tb Fe Si Ni
1 1 2 1
Cartesian
0.0000 0.0000 0.0000
0.0000 1.9511 2.4405
0.0000 0.0000 3.6386
0.0000 0.0000 6.1234
1.9511 0.0000 2.4405

***

17.
YFeSiNi, optimized geometry, DFT PBE; polymorph energy (0 for the lowest one) = 0.0000 eV/atom; VASP energy = -6.64 eV per atom; total moment = 0.25 μB per atom
1.0
0.0000 3.0647 3.0647
3.0647 0.0000 3.0647
3.0647 3.0647 0.0000
Y Fe Si Ni
1 1 1 1
Cartesian
0.0000 0.0000 0.0000
1.5323 1.5323 1.5323
3.0647 3.0647 3.0647
4.5970 4.5970 4.5970

***

18.
Y2FeSi4Ni, optimized geometry, DFT PBE; VASP energy = -6.79 eV per atom; total moment = 0.01 μB per atom
1.0
3.9863 0.0000 0.0000
0.0000 2.0154 8.1644
0.0000 -2.0154 8.1644
Y Fe Si Ni
2 1 4 1
Cartesian
0.0000 0.0000 0.0000
1.9932 0.0000 3.4829
1.9932 0.0000 6.9545
0.0000 0.0000 5.8418
0.0000 0.0000 10.5606
1.9932 0.0000 9.1862
1.9932 0.0000 13.9972
0.0000 0.0000 12.7896

***

19.
YFeSiNi, optimized geometry, DFT PBE; polymorph energy (0 for the lowest one) = 0.1385 eV/atom; VASP energy = -6.50 eV per atom; total moment = 0.74 μB per atom
1.0
0.0000 3.1719 3.1719
3.1719 0.0000 3.1719
3.1719 3.1719 0.0000
Y Fe Si Ni
1 1 1 1
Cartesian
0.0000 0.0000 0.0000
3.1719 3.1719 3.1719
1.5859 1.5859 1.5859
4.7578 4.7578 4.7578

***

20.
ZnFeSiNi, optimized geometry, DFT PBE; polymorph energy (0 for the lowest one) = 0.3213 eV/atom; VASP energy = -5.07 eV per atom; total moment = 0.63 μB per atom
1.0
0.0000 2.8526 2.8526
2.8526 0.0000 2.8526
2.8526 2.8526 0.0000
Zn Fe Si Ni
1 1 1 1
Cartesian
0.0000 0.0000 0.0000
4.2789 4.2789 4.2789
1.4263 1.4263 1.4263
2.8526 2.8526 2.8526